Here is crystalline TaOs2Pt at its relaxed geometry from Alexandria. Energies are from GGA-PBE.

Properties
Total moment, μB per atom: 0.00
Energy relative to the lowest polymorph listed for this composition, eV/atom: 0.338

Geometry as POSCAR:
```
TaOs2Pt
1.0
2.7856 0.0000 0.0000
-1.3928 2.4124 0.0000
0.0000 0.0000 27.7012
Ta Os Pt
3 6 3
Direct
0.0000 0.0000 0.0000 Ta
0.3333 0.6667 0.6667 Ta
0.6667 0.3333 0.3333 Ta
0.0000 0.0000 0.4972 Os
0.0000 0.0000 0.7540 Os
0.3333 0.6667 0.1638 Os
0.3333 0.6667 0.4206 Os
0.6667 0.3333 0.0873 Os
0.6667 0.3333 0.8305 Os
0.0000 0.0000 0.2490 Pt
0.3333 0.6667 0.9156 Pt
0.6667 0.3333 0.5823 Pt
```

***

Here is crystalline RePPt2 at its relaxed geometry from Alexandria. Energies are from GGA-PBE.

Properties
Total moment, μB per atom: 0.00
Energy relative to the lowest polymorph listed for this composition, eV/atom: 0.000

Geometry as POSCAR:
```
RePPt2
1.0
2.8748 0.0000 0.0000
-1.4374 2.4896 0.0000
0.0000 0.0000 24.7760
Re P Pt
3 3 6
Direct
0.0000 0.0000 0.0000 Re
0.3333 0.6667 0.6667 Re
0.6667 0.3333 0.3333 Re
0.0000 0.0000 0.7364 P
0.3333 0.6667 0.4031 P
0.6667 0.3333 0.0698 P
0.0000 0.0000 0.2426 Pt
0.0000 0.0000 0.4797 Pt
0.3333 0.6667 0.1464 Pt
0.3333 0.6667 0.9092 Pt
0.6667 0.3333 0.5759 Pt
0.6667 0.3333 0.8130 Pt
```

***

Here is crystalline Te2HPd at its relaxed geometry from Alexandria. Energies are from GGA-PBE.

Properties
Total moment, μB per atom: 0.00
Energy relative to the lowest polymorph listed for this composition, eV/atom: 0.000

Geometry as POSCAR:
```
Te2HPd
1.0
4.1576 0.0000 0.0000
-2.0788 3.6006 0.0000
0.0000 0.0000 19.9501
Te H Pd
6 3 3
Direct
0.0000 0.0000 0.0995 Te
0.0000 0.0000 0.9005 Te
0.3333 0.6667 0.5672 Te
0.3333 0.6667 0.7661 Te
0.6667 0.3333 0.2339 Te
0.6667 0.3333 0.4328 Te
0.0000 0.0000 0.0000 H
0.3333 0.6667 0.6667 H
0.6667 0.3333 0.3333 H
0.0000 0.0000 0.5000 Pd
0.3333 0.6667 0.1667 Pd
0.6667 0.3333 0.8333 Pd
```

***

Here is crystalline LaSiI2N at its relaxed geometry from Alexandria. Energies are from GGA-PBE.

Properties
Total moment, μB per atom: 0.15
Energy relative to the lowest polymorph listed for this composition, eV/atom: 0.381

Geometry as POSCAR:
```
LaSiI2N
1.0
6.4693 0.0000 0.0000
0.0000 6.4693 0.0000
0.0000 0.0000 4.1510
La Si I N
1 1 2 1
Direct
0.0000 0.0000 0.0000 La
0.5000 0.5000 0.5000 Si
0.0000 0.5000 0.0000 I
0.5000 0.0000 0.0000 I
0.0000 0.0000 0.5000 N
```

***

Here is crystalline La2SnSb at its relaxed geometry from Alexandria. Energies are from GGA-PBE.

Properties
Total moment, μB per atom: 0.00
Energy relative to the lowest polymorph listed for this composition, eV/atom: 0.206

Geometry as POSCAR:
```
La2SnSb
1.0
4.4109 0.0000 0.0000
-2.2054 3.8199 0.0000
0.0000 0.0000 25.2856
La Sn Sb
6 3 3
Direct
0.0000 0.0000 0.0000 La
0.0000 0.0000 0.1776 La
0.3333 0.6667 0.6667 La
0.3333 0.6667 0.8443 La
0.6667 0.3333 0.3333 La
0.6667 0.3333 0.5109 La
0.0000 0.0000 0.4213 Sn
0.3333 0.6667 0.0880 Sn
0.6667 0.3333 0.7546 Sn
0.0000 0.0000 0.5898 Sb
0.3333 0.6667 0.2565 Sb
0.6667 0.3333 0.9232 Sb
```

***

Here is crystalline Sm3DyEr5 at its relaxed geometry from Alexandria. Energies are from GGA-PBE.

Properties
Total moment, μB per atom: 0.00
Energy relative to the lowest polymorph listed for this composition, eV/atom: 0.000

Geometry as POSCAR:
```
Sm3DyEr5
1.0
9.0392 -3.1610 0.0000
9.0392 3.1610 0.0000
-4.3138 0.0000 10.6134
Sm Dy Er
6 2 10
Direct
0.0000 0.0000 0.0000 Sm
0.0000 0.0000 0.5000 Sm
0.0087 0.6479 0.6271 Sm
0.3521 0.9913 0.8729 Sm
0.6479 0.0087 0.1271 Sm
0.9913 0.3521 0.3729 Sm
0.1211 0.8789 0.2500 Dy
0.8789 0.1211 0.7500 Dy
0.1254 0.5349 0.2837 Er
0.1538 0.5282 0.9887 Er
0.4008 0.5992 0.7500 Er
0.4651 0.8746 0.2163 Er
0.4718 0.8462 0.5113 Er
0.5282 0.1538 0.4887 Er
0.5349 0.1254 0.7837 Er
0.5992 0.4008 0.2500 Er
0.8462 0.4718 0.0113 Er
0.8746 0.4651 0.7163 Er
```

***

Here is crystalline RbAlTe2 at its relaxed geometry from Alexandria. Energies are from GGA-PBE.

Properties
Total moment, μB per atom: 0.00
VASP energy, Ry per atom: -0.2587

Geometry as POSCAR:
```
RbAlTe2
1.0
8.0978 0.0000 0.0000
0.0000 8.0978 0.0000
0.0000 0.0000 9.5204
Rb Al Te
4 4 8
Direct
0.0000 0.0000 0.0000 Rb
0.0000 0.5000 0.2500 Rb
0.5000 0.0000 0.7500 Rb
0.5000 0.5000 0.5000 Rb
0.0000 0.0000 0.5000 Al
0.0000 0.5000 0.7500 Al
0.5000 0.0000 0.2500 Al
0.5000 0.5000 0.0000 Al
0.1520 0.2500 0.6250 Te
0.2500 0.6520 0.8750 Te
0.2500 0.8480 0.3750 Te
0.3480 0.2500 0.1250 Te
0.6520 0.7500 0.1250 Te
0.7500 0.1520 0.3750 Te
0.7500 0.3480 0.8750 Te
0.8480 0.7500 0.6250 Te
```

***

Here is crystalline YSc4In at its relaxed geometry from Alexandria. Energies are from GGA-PBE.

Properties
Total moment, μB per atom: 0.11
Energy relative to the lowest polymorph listed for this composition, eV/atom: 0.000

Geometry as POSCAR:
```
YSc4In
1.0
2.4889 -9.1550 0.0000
2.4889 9.1550 0.0000
0.0000 0.0000 6.8219
Y Sc In
2 8 2
Direct
0.1251 0.8749 0.7500 Y
0.8749 0.1251 0.2500 Y
0.0613 0.9387 0.2500 Sc
0.3340 0.6660 0.5353 Sc
0.3340 0.6660 0.9647 Sc
0.5000 0.5000 0.0000 Sc
0.5000 0.5000 0.5000 Sc
0.6660 0.3340 0.0353 Sc
0.6660 0.3340 0.4647 Sc
0.9387 0.0613 0.7500 Sc
0.2184 0.7816 0.2500 In
0.7816 0.2184 0.7500 In
```

***

Here is crystalline Na3Li2HgBi3 at its relaxed geometry from Alexandria. Energies are from GGA-PBE.

Properties
Total moment, μB per atom: 0.00
VASP energy, Ry per atom: -0.1848

Geometry as POSCAR:
```
Na3Li2HgBi3
1.0
8.7579 0.0000 0.0000
-4.3789 7.5846 0.0000
0.0000 0.0000 3.4752
Na Li Hg Bi
3 2 1 3
Direct
0.0000 0.7077 0.0000 Na
0.2923 0.2923 0.0000 Na
0.7077 0.0000 0.0000 Na
0.3333 0.6667 0.0000 Li
0.6667 0.3333 0.0000 Li
0.0000 0.0000 0.5000 Hg
0.0000 0.3771 0.5000 Bi
0.3771 0.0000 0.5000 Bi
0.6229 0.6229 0.5000 Bi
```

***

Here is crystalline AcTbGa2Ge2 at its relaxed geometry from Alexandria. Energies are from GGA-PBE.

Properties
Total moment, μB per atom: 0.00
VASP energy, Ry per atom: -0.3431

Geometry as POSCAR:
```
AcTbGa2Ge2
1.0
4.2427 0.0000 0.0000
-2.1213 3.6743 0.0000
0.0000 0.0000 9.1440
Ac Tb Ga Ge
1 1 2 2
Direct
0.0000 0.0000 0.0000 Ac
0.0000 0.0000 0.5000 Tb
0.3333 0.6667 0.7723 Ga
0.6667 0.3333 0.2277 Ga
0.3333 0.6667 0.3072 Ge
0.6667 0.3333 0.6928 Ge
```

***

Here is crystalline Ac2YHo5 at its relaxed geometry from Alexandria. Energies are from GGA-PBE.

Properties
Total moment, μB per atom: 0.00
VASP energy, Ry per atom: -0.3372

Geometry as POSCAR:
```
Ac2YHo5
1.0
5.8352 0.0000 0.0000
0.0000 5.8352 0.0000
0.0000 0.0000 16.4138
Ac Y Ho
4 2 10
Direct
0.0000 0.0000 0.2504 Ac
0.0000 0.0000 0.7496 Ac
0.5000 0.5000 0.2496 Ac
0.5000 0.5000 0.7504 Ac
0.0000 0.0000 0.0000 Y
0.5000 0.5000 0.5000 Y
0.0000 0.0000 0.5000 Ho
0.0000 0.5000 0.1113 Ho
0.0000 0.5000 0.3887 Ho
0.0000 0.5000 0.6113 Ho
0.0000 0.5000 0.8887 Ho
0.5000 0.0000 0.1113 Ho
0.5000 0.0000 0.3887 Ho
0.5000 0.0000 0.6113 Ho
0.5000 0.0000 0.8887 Ho
0.5000 0.5000 0.0000 Ho
```

***

Here is crystalline Ba3AsOs at its relaxed geometry from Alexandria. Energies are from GGA-PBE.

Properties
Total moment, μB per atom: 0.00
Energy relative to the lowest polymorph listed for this composition, eV/atom: 0.000

Geometry as POSCAR:
```
Ba3AsOs
1.0
5.7770 0.0000 0.0000
0.0000 5.7770 0.0000
0.0000 0.0000 5.7770
Ba As Os
3 1 1
Direct
0.0000 0.0000 0.5000 Ba
0.0000 0.5000 0.0000 Ba
0.5000 0.0000 0.0000 Ba
0.5000 0.5000 0.5000 As
0.0000 0.0000 0.0000 Os
```

***

Here is crystalline TbAlGaIr2 at its relaxed geometry from Alexandria. Energies are from GGA-PBE.

Properties
Total moment, μB per atom: 0.00
VASP energy, Ry per atom: -0.4751

Geometry as POSCAR:
```
TbAlGaIr2
1.0
2.2546 -6.8272 0.0000
2.2546 6.8272 0.0000
0.0000 0.0000 6.2356
Tb Al Ga Ir
2 2 2 4
Direct
0.1285 0.8715 0.7500 Tb
0.8715 0.1285 0.2500 Tb
0.1834 0.8166 0.2500 Al
0.8166 0.1834 0.7500 Al
0.5000 0.5000 0.0000 Ga
0.5000 0.5000 0.5000 Ga
0.3239 0.6761 0.5235 Ir
0.3239 0.6761 0.9765 Ir
0.6761 0.3239 0.0235 Ir
0.6761 0.3239 0.4765 Ir
```

***

Here is crystalline Ba2BiPt at its relaxed geometry from Alexandria. Energies are from GGA-PBE.

Properties
Total moment, μB per atom: 0.00
VASP energy, Ry per atom: -0.3062

Geometry as POSCAR:
```
Ba2BiPt
1.0
6.8111 0.0000 0.0000
0.0000 4.8851 0.0000
-3.3234 0.0000 8.8733
Ba Bi Pt
4 2 2
Direct
0.1739 0.2500 0.4104 Ba
0.2767 0.7500 0.0503 Ba
0.7233 0.2500 0.9497 Ba
0.8261 0.7500 0.5896 Ba
0.3739 0.7500 0.7076 Bi
0.6261 0.2500 0.2924 Bi
0.1884 0.2500 0.7781 Pt
0.8116 0.7500 0.2219 Pt
```

***

Here is crystalline YHoRuPt at its relaxed geometry from Alexandria. Energies are from GGA-PBE.

Properties
Total moment, μB per atom: 0.00
Energy relative to the lowest polymorph listed for this composition, eV/atom: 0.046

Geometry as POSCAR:
```
YHoRuPt
1.0
6.8803 0.0000 0.0000
0.0000 6.8803 0.0000
0.0000 0.0000 6.8803
Y Ho Ru Pt
4 4 4 4
Direct
0.0000 0.0000 0.0000 Y
0.0000 0.5000 0.5000 Y
0.5000 0.0000 0.5000 Y
0.5000 0.5000 0.0000 Y
0.0000 0.0000 0.5000 Ho
0.0000 0.5000 0.0000 Ho
0.5000 0.0000 0.0000 Ho
0.5000 0.5000 0.5000 Ho
0.2500 0.2500 0.7500 Ru
0.2500 0.7500 0.2500 Ru
0.7500 0.2500 0.2500 Ru
0.7500 0.7500 0.7500 Ru
0.2500 0.2500 0.2500 Pt
0.2500 0.7500 0.7500 Pt
0.7500 0.2500 0.7500 Pt
0.7500 0.7500 0.2500 Pt
```

***

Here is crystalline La2CePb at its relaxed geometry from Alexandria. Energies are from GGA-PBE.

Properties
Total moment, μB per atom: 0.29
Energy relative to the lowest polymorph listed for this composition, eV/atom: 0.120

Geometry as POSCAR:
```
La2CePb
1.0
4.8526 0.0000 0.0000
0.0000 4.7179 0.0000
-2.4367 0.0000 11.8491
La Ce Pb
4 2 2
Direct
0.0556 0.2500 0.1106 La
0.4305 0.2500 0.8612 La
0.5695 0.7500 0.1388 La
0.9444 0.7500 0.8894 La
0.3047 0.7500 0.6105 Ce
0.6953 0.2500 0.3895 Ce
0.1689 0.7500 0.3366 Pb
0.8311 0.2500 0.6634 Pb
```